[1]
# KGe2Pt2 PBE relaxed
data_KGe2Pt2
_chemical_formula_sum 'K2 Ge4 Pt4'
_cell_length_a 8.131
_cell_length_b 8.131
_cell_length_c 2.909
_cell_angle_alpha 90.00
_cell_angle_beta 90.00
_cell_angle_gamma 90.00
_symmetry_space_group_name_H-M 'P 4/m b m'
_symmetry_Int_Tables_number 127
_symmetry_space_group_name_Hall '-P 4 2ab'
loop_
_atom_site_label
_atom_site_fract_x
_atom_site_fract_y
_atom_site_fract_z
_atom_site_occupancy
K1 0.000 0.000 0.000 1
Ge1 0.146 0.354 0.500 1
Pt1 0.133 0.633 0.000 1
# - Crystal system: tetragonal
# - Energy: -4.672 eV per atom
# - DFT formation energy: -189 meV per atom
# - ΔE to the lowest computed polymorph: 0.3130 eV/atom
# - D(E_F): 0.64 states/eV per atom

[2]
# KGe3Pt PBE relaxed
data_KGe3Pt
_chemical_formula_sum 'K2 Ge6 Pt2'
_cell_length_a 4.552
_cell_length_b 4.552
_cell_length_c 10.426
_cell_angle_alpha 90.00
_cell_angle_beta 90.00
_cell_angle_gamma 90.00
_symmetry_space_group_name_H-M 'I 4 m m'
_symmetry_Int_Tables_number 107
_symmetry_space_group_name_Hall 'I 4 -2'
loop_
_atom_site_label
_atom_site_fract_x
_atom_site_fract_y
_atom_site_fract_z
_atom_site_occupancy
K1 0.000 0.000 0.000 1
Ge1 0.000 0.000 0.399 1
Ge2 0.000 0.500 0.251 1
Pt1 0.000 0.000 0.641 1
# - Crystal system: tetragonal
# - Energy: -4.505 eV per atom
# - DFT formation energy: -307 meV per atom
# - ΔE to the lowest computed polymorph: 0.0000 eV/atom
# - D(E_F): 0.32 states/eV per atom

[3]
# KGe12Pt6 PBE relaxed
data_KGe12Pt6
_chemical_formula_sum 'K3 Ge36 Pt18'
_cell_length_a 11.9640
_cell_length_b 11.9640
_cell_length_c 9.6858
_cell_angle_alpha 90.00
_cell_angle_beta 90.00
_cell_angle_gamma 120.00
_symmetry_space_group_name_H-M 'R -3 m'
_symmetry_Int_Tables_number 166
_symmetry_space_group_name_Hall '-R 3 2"'
loop_
_atom_site_label
_atom_site_fract_x
_atom_site_fract_y
_atom_site_fract_z
_atom_site_occupancy
K1 0.0000 0.0000 0.0000 1
Ge1 0.0000 0.3634 0.5000 1
Ge2 0.1057 0.2115 0.3646 1
Pt1 0.0693 0.5346 0.2998 1
# - Crystal system: trigonal
# - Energy: -5.096 eV per atom
# - DFT formation energy: -214 meV per atom
# - D(E_F): 0.37 states/eV per atom

[4]
# KGe2Pt2 PBE relaxed
data_KGe2Pt2
_chemical_formula_sum 'K2 Ge4 Pt4'
_cell_length_a 8.195
_cell_length_b 8.195
_cell_length_c 2.810
_cell_angle_alpha 90.00
_cell_angle_beta 90.00
_cell_angle_gamma 90.00
_symmetry_space_group_name_H-M 'P 4/m b m'
_symmetry_Int_Tables_number 127
_symmetry_space_group_name_Hall '-P 4 2ab'
loop_
_atom_site_label
_atom_site_fract_x
_atom_site_fract_y
_atom_site_fract_z
_atom_site_occupancy
K1 0.000 0.000 0.000 1
Ge1 0.133 0.367 0.000 1
Pt1 0.156 0.656 0.500 1
# - Crystal system: tetragonal
# - Energy: -4.680 eV per atom
# - DFT formation energy: -197 meV per atom
# - ΔE to the lowest computed polymorph: 0.3048 eV/atom
# - D(E_F): 0.52 states/eV per atom

[5]
# K2GePt2 PBE relaxed
data_K2GePt2
_chemical_formula_sum 'K8 Ge4 Pt8'
_cell_length_a 6.875
_cell_length_b 11.885
_cell_length_c 6.888
_cell_angle_alpha 90.00
_cell_angle_beta 98.73
_cell_angle_gamma 90.00
_symmetry_space_group_name_H-M 'C 1 2/m 1'
_symmetry_Int_Tables_number 12
_symmetry_space_group_name_Hall '-C 2y'
loop_
_atom_site_label
_atom_site_fract_x
_atom_site_fract_y
_atom_site_fract_z
_atom_site_occupancy
K1 0.159 0.164 0.296 1
Ge1 0.000 0.390 0.000 1
Pt1 0.063 0.500 0.330 1
Pt2 0.173 0.000 0.934 1
# - Crystal system: monoclinic
# - Energy: -3.957 eV per atom
# - DFT formation energy: -178 meV per atom
# - ΔE to the lowest computed polymorph: 0.1677 eV/atom
# - D(E_F): 0.32 states/eV per atom

[6]
# KRbGePt PBE relaxed
data_KRbGePt
_chemical_formula_sum 'K3 Rb3 Ge3 Pt3'
_cell_length_a 4.2924
_cell_length_b 4.2924
_cell_length_c 29.1643
_cell_angle_alpha 90.00
_cell_angle_beta 90.00
_cell_angle_gamma 120.00
_symmetry_space_group_name_H-M 'R 3 m'
_symmetry_Int_Tables_number 160
_symmetry_space_group_name_Hall 'R 3 -2"'
loop_
_atom_site_label
_atom_site_fract_x
_atom_site_fract_y
_atom_site_fract_z
_atom_site_occupancy
K1 0.0000 0.0000 0.0000 1
Rb1 0.0000 0.0000 0.1737 1
Ge1 0.0000 0.0000 0.7506 1
Pt1 0.0000 0.0000 0.4173 1
# - Crystal system: trigonal
# - Energy: -3.446 eV per atom
# - DFT formation energy: -265 meV per atom
# - D(E_F): 0.92 states/eV per atom

[7]
# K2RbGePt PBE relaxed
data_K2RbGePt
_chemical_formula_sum 'K2 Rb1 Ge1 Pt1'
_cell_length_a 6.401
_cell_length_b 6.401
_cell_length_c 4.792
_cell_angle_alpha 90.00
_cell_angle_beta 90.00
_cell_angle_gamma 90.00
_symmetry_space_group_name_H-M 'P 4/m m m'
_symmetry_Int_Tables_number 123
_symmetry_space_group_name_Hall '-P 4 2'
loop_
_atom_site_label
_atom_site_fract_x
_atom_site_fract_y
_atom_site_fract_z
_atom_site_occupancy
K1 0.000 0.500 0.000 1
Rb1 0.000 0.000 0.500 1
Ge1 0.500 0.500 0.500 1
Pt1 0.500 0.500 0.000 1
# - Crystal system: tetragonal
# - Energy: -2.894 eV per atom
# - DFT formation energy: -130 meV per atom
# - ΔE to the lowest computed polymorph: 0.0000 eV/atom
# - D(E_F): 0.58 states/eV per atom

[8]
# K2RbGePt PBE relaxed
data_K2RbGePt
_chemical_formula_sum 'K2 Rb1 Ge1 Pt1'
_cell_length_a 6.494
_cell_length_b 6.494
_cell_length_c 4.734
_cell_angle_alpha 90.00
_cell_angle_beta 90.00
_cell_angle_gamma 90.00
_symmetry_space_group_name_H-M 'P 4/m m m'
_symmetry_Int_Tables_number 123
_symmetry_space_group_name_Hall '-P 4 2'
loop_
_atom_site_label
_atom_site_fract_x
_atom_site_fract_y
_atom_site_fract_z
_atom_site_occupancy
K1 0.000 0.500 0.000 1
Rb1 0.000 0.000 0.500 1
Ge1 0.500 0.500 0.000 1
Pt1 0.500 0.500 0.500 1
# - Crystal system: tetragonal
# - Energy: -2.821 eV per atom
# - DFT formation energy: -57 meV per atom
# - ΔE to the lowest computed polymorph: 0.0723 eV/atom
# - D(E_F): 0.55 states/eV per atom

[9]
# KGe2PtRh PBE relaxed
data_KGe2PtRh
_chemical_formula_sum 'K2 Ge4 Pt2 Rh2'
_cell_length_a 4.091
_cell_length_b 4.091
_cell_length_c 13.331
_cell_angle_alpha 90.00
_cell_angle_beta 90.00
_cell_angle_gamma 90.00
_symmetry_space_group_name_H-M 'I -4 m 2'
_symmetry_Int_Tables_number 119
_symmetry_space_group_name_Hall 'I -4 -2'
loop_
_atom_site_label
_atom_site_fract_x
_atom_site_fract_y
_atom_site_fract_z
_atom_site_occupancy
K1 0.000 0.000 0.000 1
Ge1 0.000 0.000 0.356 1
Pt1 0.000 0.500 0.250 1
Rh1 0.000 0.500 0.750 1
# - Crystal system: tetragonal
# - Energy: -5.238 eV per atom
# - DFT formation energy: -494 meV per atom
# - D(E_F): 0.26 states/eV per atom

[10]
# K2Ge4Pt3Rh PBE relaxed
data_K2Ge4Pt3Rh
_chemical_formula_sum 'K2 Ge4 Pt3 Rh1'
_cell_length_a 4.361
_cell_length_b 4.361
_cell_length_c 10.552
_cell_angle_alpha 90.00
_cell_angle_beta 90.00
_cell_angle_gamma 90.00
_symmetry_space_group_name_H-M 'P -4 m 2'
_symmetry_Int_Tables_number 115
_symmetry_space_group_name_Hall 'P -4 -2'
loop_
_atom_site_label
_atom_site_fract_x
_atom_site_fract_y
_atom_site_fract_z
_atom_site_occupancy
K1 0.000 0.500 0.250 1
Ge1 0.000 0.000 0.000 1
Ge2 0.000 0.500 0.624 1
Ge3 0.500 0.500 0.000 1
Pt1 0.000 0.500 0.873 1
Pt2 0.500 0.500 0.500 1
Rh1 0.000 0.000 0.500 1
# - Crystal system: tetragonal
# - Energy: -5.050 eV per atom
# - DFT formation energy: -436 meV per atom
# - D(E_F): 0.59 states/eV per atom

[11]
# KGeSbPt2 PBE relaxed
data_KGeSbPt2
_chemical_formula_sum 'K2 Ge2 Sb2 Pt4'
_cell_length_a 7.064
_cell_length_b 4.415
_cell_length_c 9.150
_cell_angle_alpha 90.00
_cell_angle_beta 104.79
_cell_angle_gamma 90.00
_symmetry_space_group_name_H-M 'P 1 21/m 1'
_symmetry_Int_Tables_number 11
_symmetry_space_group_name_Hall '-P 2yb'
loop_
_atom_site_label
_atom_site_fract_x
_atom_site_fract_y
_atom_site_fract_z
_atom_site_occupancy
K1 0.060 0.250 0.257 1
Ge1 0.281 0.750 0.541 1
Sb1 0.362 0.750 0.072 1
Pt1 0.468 0.250 0.602 1
Pt2 0.472 0.750 0.808 1
# - Crystal system: monoclinic
# - Energy: -4.823 eV per atom
# - D(E_F): 0.27 states/eV per atom
# - Formation energy from raw total energies: -0.44 eV/atom

[12]
# K2GeSb3Pt4 PBE relaxed
data_K2GeSb3Pt4
_chemical_formula_sum 'K2 Ge1 Sb3 Pt4'
_cell_length_a 4.691
_cell_length_b 4.691
_cell_length_c 10.635
_cell_angle_alpha 90.00
_cell_angle_beta 90.00
_cell_angle_gamma 90.00
_symmetry_space_group_name_H-M 'P -4 m 2'
_symmetry_Int_Tables_number 115
_symmetry_space_group_name_Hall 'P -4 -2'
loop_
_atom_site_label
_atom_site_fract_x
_atom_site_fract_y
_atom_site_fract_z
_atom_site_occupancy
K1 0.000 0.500 0.248 1
Ge1 0.500 0.500 0.000 1
Sb1 0.000 0.000 0.000 1
Sb2 0.000 0.500 0.626 1
Pt1 0.000 0.000 0.500 1
Pt2 0.000 0.500 0.884 1
Pt3 0.500 0.500 0.500 1
# - Crystal system: tetragonal
# - Energy: -4.801 eV per atom
# - D(E_F): 0.34 states/eV per atom
# - Formation energy from raw total energies: -0.47 eV/atom